Entry from Alexandria via LeMat-Bulk: a geometry-optimized DyInH structure (GGA-PBE).

```
data_DyInH
_chemical_formula_sum 'Dy2 In2 H2'
_cell_length_a 3.183
_cell_length_b 3.183
_cell_length_c 11.638
_cell_angle_alpha 90.00
_cell_angle_beta 90.00
_cell_angle_gamma 90.00
_symmetry_space_group_name_H-M 'I 4 m m'
_symmetry_Int_Tables_number 107
_symmetry_space_group_name_Hall 'I 4 -2'
loop_
_atom_site_label
_atom_site_type_symbol
_atom_site_fract_x
_atom_site_fract_y
_atom_site_fract_z
Dy1 Dy 0.000 0.000 0.000
In1 In 0.000 0.000 0.277
H1 H 0.000 0.000 0.536
```

ΔE to the lowest computed polymorph: 0.3124 eV/atom

=====

Entry from Alexandria via LeMat-Bulk: a geometry-optimized DyInH6Ir2 structure (GGA-PBE).

```
data_DyInH6Ir2
_chemical_formula_sum 'Dy4 In4 H24 Ir8'
_cell_length_a 7.421
_cell_length_b 11.455
_cell_length_c 5.440
_cell_angle_alpha 90.00
_cell_angle_beta 109.93
_cell_angle_gamma 90.00
_symmetry_space_group_name_H-M 'C 1 2/c 1'
_symmetry_Int_Tables_number 15
loop_
_symmetry_equiv_pos_as_xyz
'x,y,z'
'-x,-y,-z'
'-x,y,-z+1/2'
'x,-y,z+1/2'
'x+1/2,y+1/2,z'
'-x+1/2,-y+1/2,-z'
'-x+1/2,y+1/2,-z+1/2'
'x+1/2,-y+1/2,z+1/2'
loop_
_atom_site_label
_atom_site_type_symbol
_atom_site_fract_x
_atom_site_fract_y
_atom_site_fract_z
Dy1 Dy 0.000 0.125 0.250
In1 In 0.000 0.309 0.750
H1 H 0.063 0.432 0.076
H2 H 0.205 0.006 0.093
H3 H 0.235 0.306 0.370
Ir1 Ir 0.211 0.106 0.842
```

E_tot: -4.78 eV/atom

=====

Entry from Alexandria via LeMat-Bulk: a geometry-optimized DyInH8Ir2 structure (GGA-PBE).

```
data_DyInH8Ir2
_chemical_formula_sum 'Dy2 In2 H16 Ir4'
_cell_length_a 8.791
_cell_length_b 4.251
_cell_length_c 6.119
_cell_angle_alpha 90.00
_cell_angle_beta 104.83
_cell_angle_gamma 90.00
_symmetry_space_group_name_H-M 'C 1 2/m 1'
_symmetry_Int_Tables_number 12
loop_
_symmetry_equiv_pos_as_xyz
'x,y,z'
'-x,-y,-z'
'-x,y,-z'
'x,-y,z'
'x+1/2,y+1/2,z'
'-x+1/2,-y+1/2,-z'
'-x+1/2,y+1/2,-z'
'x+1/2,-y+1/2,z'
loop_
_atom_site_label
_atom_site_type_symbol
_atom_site_fract_x
_atom_site_fract_y
_atom_site_fract_z
Dy1 Dy 0.000 0.000 0.000
In1 In 0.000 0.500 0.500
H1 H 0.087 0.500 0.107
H2 H 0.172 0.000 0.391
H3 H 0.179 0.261 0.821
Ir1 Ir 0.250 0.000 0.677
```

E_tot: -4.47 eV/atom

=====

| no. | mass density (g/cm3) |
| --- | --- |
| 1 | 7.84 |
| 2 | 10.20 |
| 3 | 10.06 |